## MoW2O8 (PBE with a Hubbard U)

Data for a relaxed structure of MoW2O8.

Computed properties:
Its size of the total moment is 0.1818 μB/atom. The value obtained for the energy relative to the lowest polymorph listed for this composition is 50.4 meV/atom. The density of states at the Fermi level comes out at 0.00 states/eV per atom.

The structure in CIF format:
```
data_MoW2O8
_cell_length_a 5.063
_cell_length_b 5.429
_cell_length_c 6.962
_cell_angle_alpha 109.91
_cell_angle_beta 92.03
_cell_angle_gamma 103.88
_space_group_name_H-M_alt 'P 1'
_space_group_IT_number 1
_space_group_name_Hall 'P 1'
loop_
_atom_site_label
_atom_site_fract_x
_atom_site_fract_y
_atom_site_fract_z
Mo1 0.000 0.000 0.000
W1 0.261 0.467 0.817
W2 0.739 0.533 0.183
O1 0.081 0.765 0.158
O2 0.129 0.732 0.764
O3 0.343 0.281 0.583
O4 0.379 0.293 0.026
O5 0.621 0.707 0.974
O6 0.657 0.719 0.417
O7 0.871 0.268 0.236
O8 0.919 0.235 0.842
```